Compound: GaPb2I
Source: Alexandria via LeMat-Bulk
Functional: GGA-PBE
Structure: relaxed

Lattice parameters (Å, degrees): 4.5518 4.5518 9.2001 75.68 75.68 60.00
Sites, in units of the cell vectors:
Pb 0.1162 0.1162 0.6514
Pb 0.8838 0.8838 0.3486
I 0.0000 0.0000 0.0000
Ga 0.5000 0.5000 0.5000

Values from the calculation:
space-group type: R-3m (166)
size of the total moment: 0.00 μB/cell
formation energy (no corrections): -0.0174 eV/atom